Here is VGaCo4 after structural relaxation from the Alexandria database. Energies are from PBE-GGA.

Results
The value obtained for the spin magnetization is 2.59 μB per formula unit. Its total energy is -40.73 eV per cell. As for the polymorph energy (0 for the lowest one): 0.00 kcal/mol of atoms. As for the crystal system: cubic. For the formation energy, the calculation gives -0.028 eV per atom. The calculation puts the density of states at the Fermi level at 8.91 states/eV/f.u.

Geometry as CIF:
```
data_VGaCo4
_cell_length_a 4.6459
_cell_length_b 4.6459
_cell_length_c 4.6459
_cell_angle_alpha 60.00
_cell_angle_beta 60.00
_cell_angle_gamma 60.00
_symmetry_space_group_name_H-M 'P 1'
_symmetry_Int_Tables_number 1
loop_
_symmetry_equiv_pos_as_xyz
'x,y,z'
loop_
_atom_site_label
_atom_site_fract_x
_atom_site_fract_y
_atom_site_fract_z
_atom_site_occupancy
Co1 0.6253 0.6253 0.1242 1
Co2 0.6253 0.1242 0.6253 1
Co3 0.6253 0.6253 0.6253 1
Co4 0.1242 0.6253 0.6253 1
Ga1 0.0000 0.0000 0.0000 1
V1 0.2500 0.2500 0.2500 1
```